CeZn2Os: relaxed, PBE.

SG   Fm-3m, No. 225
Fermi-level density of states   8.23 states/eV per cell
Energy of formation from the pure elements   57 meV per atom
Size of the total moment   0.000 μB/atom

a b c (Å): 4.6491 4.6491 4.6507
angles (deg): 60.01 60.01 60.00
Fractional coordinates of all 4 atoms:
1 Zn 0.2502 0.2502 0.2495
2 Zn 0.7498 0.7498 0.7505
3 Os 0.0000 0.0000 0.0000
4 Ce 0.5000 0.5000 0.5000